1.
## HgOs (PBE)

Data for a relaxed structure of HgOs.

- Size of the total moment: 0.00 μB/f.u.
- Calculated volume: 19.41 A^3/atom
- Energy relative to the lowest polymorph listed for this composition: 0.79 eV/f.u.

Cell: 5.3955 5.3955 5.3955 Å, 47.31 47.31 47.31°
With the nearest neighbours (Å) after each atom.
Fractional coordinates of all 4 atoms:
Hg 0.1149 0.1149 0.1149  3 Hg 2.91, 7 Os 2.92-3.07
Hg 0.8851 0.8851 0.8851  3 Hg 2.91, 7 Os 2.92-3.07
Os 0.3236 0.3236 0.3236  3 Os 2.52
Os 0.6764 0.6764 0.6764  3 Os 2.52

***

2.
## HgOs (PBE)

Data for a relaxed structure of HgOs.

- Size of the total moment: 1.90 μB/f.u.
- Calculated volume: 20.68 A^3/atom
- Energy relative to the lowest polymorph listed for this composition: 2.96 eV/f.u.

Cell: 3.8816 3.8816 3.8816 Å, 60.00 60.00 60.00°
With the nearest neighbours (Å) after each atom.
Fractional coordinates of all 2 atoms:
Hg 0.0000 0.0000 0.0000  6 Os 2.74
Os 0.5000 0.5000 0.5000  6 Hg 2.74

***

3.
## HgOs (PBE)

Data for a relaxed structure of HgOs.

- Size of the total moment: 1.03 μB/f.u.
- Calculated volume: 17.37 A^3/atom
- Energy relative to the lowest polymorph listed for this composition: 1.77 eV/f.u.

Cell: 3.2631 3.2631 3.2631 Å, 90.00 90.00 90.00°
With the nearest neighbours (Å) after each atom.
Fractional coordinates of all 2 atoms:
Hg 0.0000 0.0000 0.0000  8 Os 2.83
Os 0.5000 0.5000 0.5000  8 Hg 2.83

***

4.
## Hg5Os (PBE)

Data for a relaxed structure of Hg5Os.

- Size of the total moment: 0.47 μB/f.u.
- Calculated volume: 25.91 A^3/atom
- Energy relative to the lowest polymorph listed for this composition: 0.00 eV/f.u.

Cell: 7.3726 7.3726 7.3726 Å, 156.61 95.65 89.07°
With the nearest neighbours (Å) after each atom.
Fractional coordinates of all 6 atoms:
Hg 0.0000 0.0000 0.0000  2 Hg 2.99
Hg 0.1708 0.8380 0.3328  2 Os 2.80, 4 Hg 2.90-2.99
Hg 0.4925 0.1600 0.3325  2 Os 2.80, 4 Hg 2.90-2.99
Hg 0.5052 0.8380 0.6672  2 Os 2.80, 4 Hg 2.90-2.99
Hg 0.8275 0.1600 0.6675  2 Os 2.80, 4 Hg 2.90-2.99
Os 0.4991 0.4991 0.0000  8 Hg 2.80, 2 Os 2.99

***

5.
## Hg5Os (PBE)

Data for a relaxed structure of Hg5Os.

- Size of the total moment: 0.90 μB/f.u.
- Calculated volume: 22.28 A^3/atom
- Energy relative to the lowest polymorph listed for this composition: 3.76 eV/f.u.

Cell: 5.7391 5.7391 5.7391 Å, 60.00 60.00 60.00°
With the nearest neighbours (Å) after each atom.
Fractional coordinates of all 6 atoms:
Hg 0.0000 0.0000 0.0000  12 Hg 3.37, 4 Os 3.51
Hg 0.1264 0.6245 0.6245  6 Hg 2.86-2.88
Hg 0.6245 0.1264 0.6245  6 Hg 2.86-2.88
Hg 0.6245 0.6245 0.1264  6 Hg 2.86-2.88
Hg 0.6245 0.6245 0.6245  6 Hg 2.86-2.88
Os 0.2500 0.2500 0.2500  16 Hg 3.36-3.51

***

6.
## HgOs (PBE)

Data for a relaxed structure of HgOs.

- Size of the total moment: 0.00 μB/f.u.
- Calculated volume: 20.68 A^3/atom
- Energy relative to the lowest polymorph listed for this composition: 2.31 eV/f.u.

Cell: 5.4843 5.4843 5.4995 Å, 90.00 90.00 90.00°
With the nearest neighbours (Å) after each atom.
Fractional coordinates of all 8 atoms:
Hg 0.1794 0.1794 0.0000  6 Os 2.74-3.05, 1 Hg 2.78
Hg 0.3206 0.6794 0.5000  6 Os 2.74-3.05, 1 Hg 2.78
Hg 0.6794 0.3206 0.5000  6 Os 2.74-3.05, 1 Hg 2.78
Hg 0.8206 0.8206 0.0000  6 Os 2.74-3.05, 1 Hg 2.78
Os 0.1499 0.1499 0.5000  1 Os 2.32
Os 0.3501 0.6499 0.0000  1 Os 2.32
Os 0.6499 0.3501 0.0000  1 Os 2.32
Os 0.8501 0.8501 0.5000  1 Os 2.32

***

7.
## Hg3Os (PBE)

Data for a relaxed structure of Hg3Os.

- Size of the total moment: 0.02 μB/f.u.
- Calculated volume: 21.58 A^3/atom
- Energy relative to the lowest polymorph listed for this composition: 0.30 eV/f.u.

Cell: 11.9260 11.9260 11.9260 Å, 13.99 13.99 13.99°
With the nearest neighbours (Å) after each atom.
Fractional coordinates of all 4 atoms:
Hg 0.0000 0.0000 0.0000  6 Hg 2.91
Hg 0.2364 0.2364 0.2364  6 Hg 2.91, 3 Os 2.99
Hg 0.7636 0.7636 0.7636  6 Hg 2.91, 3 Os 2.99
Os 0.5000 0.5000 0.5000  6 Os 2.91, 6 Hg 2.99

***

8.
## HgOs (PBE)

Data for a relaxed structure of HgOs.

- Size of the total moment: 0.64 μB/f.u.
- Calculated volume: 17.86 A^3/atom
- Energy relative to the lowest polymorph listed for this composition: 1.91 eV/f.u.

Cell: 5.2281 5.2281 5.2281 Å, 90.00 90.00 90.00°
With the nearest neighbours (Å) after each atom.
Fractional coordinates of all 8 atoms:
Hg 0.0957 0.4043 0.5957  7 Os 2.72-2.85
Hg 0.4043 0.5957 0.0957  7 Os 2.72-2.85
Hg 0.5957 0.0957 0.4043  7 Os 2.72-2.85
Hg 0.9043 0.9043 0.9043  7 Os 2.72-2.85
Os 0.1034 0.8966 0.3966  7 Hg 2.72-2.85
Os 0.3966 0.1034 0.8966  7 Hg 2.72-2.85
Os 0.6034 0.6034 0.6034  7 Hg 2.72-2.85
Os 0.8966 0.3966 0.1034  7 Hg 2.72-2.85

***

9.
## Hg3Os (PBE)

Data for a relaxed structure of Hg3Os.

- Size of the total moment: 0.00 μB/f.u.
- Calculated volume: 22.87 A^3/atom
- Energy relative to the lowest polymorph listed for this composition: 0.32 eV/f.u.

Cell: 7.2147 8.2407 6.1551 Å, 90.00 90.00 90.00°
With the nearest neighbours (Å) after each atom.
Fractional coordinates of all 16 atoms:
Hg 0.0659 0.2500 0.1829  2 Os 2.71-2.75
Hg 0.1777 0.0478 0.6616  3 Os 2.75-2.86, 1 Hg 3.08
Hg 0.1777 0.4522 0.6616  3 Os 2.75-2.86, 1 Hg 3.08
Hg 0.3223 0.5478 0.1616  3 Os 2.75-2.86, 1 Hg 3.08
Hg 0.3223 0.9522 0.1616  3 Os 2.75-2.86, 1 Hg 3.08
Hg 0.4341 0.7500 0.6829  2 Os 2.71-2.75
Hg 0.5659 0.2500 0.3171  2 Os 2.71-2.75
Hg 0.6777 0.0478 0.8384  3 Os 2.75-2.86, 1 Hg 3.08
Hg 0.6777 0.4522 0.8384  3 Os 2.75-2.86, 1 Hg 3.08
Hg 0.8223 0.5478 0.3384  3 Os 2.75-2.86, 1 Hg 3.08
Hg 0.8223 0.9522 0.3384  3 Os 2.75-2.86, 1 Hg 3.08
Hg 0.9341 0.7500 0.8171  2 Os 2.71-2.75
Os 0.1256 0.7500 0.4316  8 Hg 2.71-2.86
Os 0.3744 0.2500 0.9316  8 Hg 2.71-2.86
Os 0.6256 0.7500 0.0684  8 Hg 2.71-2.86
Os 0.8744 0.2500 0.5684  8 Hg 2.71-2.86

***

10.
## Hg2Os (PBE)

Data for a relaxed structure of Hg2Os.

- Size of the total moment: 0.00 μB/f.u.
- Calculated volume: 18.76 A^3/atom

Cell: 8.0203 8.0203 4.9957 Å, 90.00 90.00 159.50°
With the nearest neighbours (Å) after each atom.
Fractional coordinates of all 6 atoms:
Hg 0.0526 0.9474 0.7500  6 Hg 2.85-3.04, 6 Os 3.02-3.05
Hg 0.2776 0.7224 0.2500  8 Hg 2.85-3.04, 4 Os 2.92-3.01
Hg 0.7224 0.2776 0.7500  8 Hg 2.85-3.04, 4 Os 2.92-3.01
Hg 0.9474 0.0526 0.2500  6 Hg 2.85-3.04, 6 Os 3.02-3.05
Os 0.3840 0.6160 0.7500  2 Os 2.85, 10 Hg 2.92-3.05
Os 0.6160 0.3840 0.2500  2 Os 2.85, 10 Hg 2.92-3.05

***

11.
## Hg3Os (PBE)

Data for a relaxed structure of Hg3Os.

- Size of the total moment: 1.15 μB/f.u.
- Calculated volume: 20.82 A^3/atom
- Energy relative to the lowest polymorph listed for this composition: 0.59 eV/f.u.

Cell: 2.9957 2.9957 9.2823 Å, 90.00 90.00 90.00°
With the nearest neighbours (Å) after each atom.
Fractional coordinates of all 4 atoms:
Hg 0.0000 0.0000 0.0000  4 Hg 3.00
Hg 0.5000 0.5000 0.2859  4 Os 2.90, 4 Hg 3.00
Hg 0.5000 0.5000 0.7141  4 Os 2.90, 4 Hg 3.00
Os 0.0000 0.0000 0.5000  8 Hg 2.90, 4 Os 3.00

***

12.
## HgOs (PBE)

Data for a relaxed structure of HgOs.

- Size of the total moment: 0.00 μB/f.u.
- Calculated volume: 21.14 A^3/atom
- Energy relative to the lowest polymorph listed for this composition: 1.25 eV/f.u.

Cell: 3.5239 3.5239 6.8079 Å, 90.00 90.00 90.00°
With the nearest neighbours (Å) after each atom.
Fractional coordinates of all 4 atoms:
Hg 0.2500 0.2500 0.1397  4 Os 3.02, 4 Hg 3.13
Hg 0.7500 0.7500 0.8603  4 Os 3.02, 4 Hg 3.13
Os 0.2500 0.7500 0.5000  4 Os 2.49
Os 0.7500 0.2500 0.5000  4 Os 2.49

***

no.,E_form (meV/atom)
1,796
2,1879
3,1285
4,390
5,1017
6,1555
7,676
8,1353
9,681
10,988
11,750
12,1025